Sm2NbCd: optimized geometry, PBE.

The structure in CIF format:
```
data_Sm2NbCd
_space_group_name_H-M_alt 'R -3 m'
_space_group_IT_number 166
_space_group_name_Hall '-R 3 2"'
_cell_length_a 3.2167
_cell_length_b 3.2167
_cell_length_c 34.9423
_cell_angle_alpha 90.00
_cell_angle_beta 90.00
_cell_angle_gamma 120.00
loop_
_atom_site_label
_atom_site_type_symbol
_atom_site_fract_x
_atom_site_fract_y
_atom_site_fract_z
Sm1 Sm 0.0000 0.0000 0.0847
Nb1 Nb 0.0000 0.0000 0.0000
Cd1 Cd 0.0000 0.0000 0.5000
```

## Properties
Electronic total energy ... -4.62 eV per atom
DOS at the Fermi energy ... 17.2 states/eV/cell